# PBE LiEuBiPt, optimized geometry
# Fermi-level density of states, states/eV per cell: 52.2
# Formation energy from the elements, eV/atom: -0.6487
data_LiEuBiPt
_cell_length_a 7.0405
_cell_length_b 7.0405
_cell_length_c 7.0405
_cell_angle_alpha 90.00
_cell_angle_beta 90.00
_cell_angle_gamma 90.00
_space_group_name_H-M_alt 'F -4 3 m'
_space_group_IT_number 216
_space_group_name_Hall 'F -4 2 3'
loop_
_atom_site_label
_atom_site_type_symbol
_atom_site_fract_x
_atom_site_fract_y
_atom_site_fract_z
_atom_site_occupancy
Li1 Li 0.0000 0.0000 0.0000 1
Eu1 Eu 0.2500 0.2500 0.7500 1
Bi1 Bi 0.2500 0.2500 0.2500 1
Pt1 Pt 0.0000 0.0000 0.5000 1

---

# PBE Nd4Sm3Ge4, optimized geometry
# Fermi-level density of states, states/eV per cell: 18.6
# Formation energy from the elements, eV/atom: -0.6127
data_Nd4Sm3Ge4
_cell_length_a 3.9002
_cell_length_b 8.8472
_cell_length_c 17.5414
_cell_angle_alpha 90.00
_cell_angle_beta 90.00
_cell_angle_gamma 90.00
_space_group_name_H-M_alt 'I m m m'
_space_group_IT_number 71
_space_group_name_Hall '-I 2 2'
loop_
_atom_site_label
_atom_site_type_symbol
_atom_site_fract_x
_atom_site_fract_y
_atom_site_fract_z
_atom_site_occupancy
Nd1 Nd 0.0000 0.1748 0.1708 1
Sm1 Sm 0.0000 0.0000 0.4054 1
Sm2 Sm 0.0000 0.5000 0.5000 1
Ge1 Ge 0.0000 0.2755 0.0000 1
Ge2 Ge 0.0000 0.5000 0.2239 1

---

# PBE CaZrS2Cl, optimized geometry
# Fermi-level density of states, states/eV per cell: 4.3
# Raw total energy, hartree per atom: -0.1680
data_CaZrS2Cl
_cell_length_a 5.1670
_cell_length_b 5.1670
_cell_length_c 4.8482
_cell_angle_alpha 90.00
_cell_angle_beta 90.00
_cell_angle_gamma 90.00
_space_group_name_H-M_alt 'P 4/m m m'
_space_group_IT_number 123
_space_group_name_Hall '-P 4 2'
loop_
_atom_site_label
_atom_site_type_symbol
_atom_site_fract_x
_atom_site_fract_y
_atom_site_fract_z
_atom_site_occupancy
Ca1 Ca 0.0000 0.0000 0.0000 1
Zr1 Zr 0.5000 0.5000 0.5000 1
S1 S 0.0000 0.5000 0.0000 1
Cl1 Cl 0.0000 0.0000 0.5000 1